(1)
Crystalline CsHSeN at its relaxed geometry, computed with PBE.

Unit cell a=4.253 b=4.717 c=5.256 alpha=86.26 beta=86.85 gamma=69.57
Space group P1 (No. 1)
Asymmetric unit:
1 Cs 0.000 0.000 0.000 (multiplicity 1)
2 H 0.368 0.254 0.570 (multiplicity 1)
3 Se 0.631 0.615 0.520 (multiplicity 1)
4 N 0.338 0.440 0.677 (multiplicity 1)

Values from the calculation:
- ΔE to the lowest computed polymorph: 0.000 eV per atom

=====

(2)
Crystalline Pu2ThF11 at its relaxed geometry, computed with PBE.

Unit cell a=8.407 b=10.627 c=11.422 alpha=90.00 beta=90.00 gamma=90.00
Space group Ibam (No. 72)
Asymmetric unit:
1 Pu 0.145 0.181 0.000 (multiplicity 8)
2 Th 0.000 0.500 0.250 (multiplicity 4)
3 F 0.000 0.000 0.000 (multiplicity 4)
4 F 0.088 0.326 0.142 (multiplicity 16)
5 F 0.130 0.218 0.500 (multiplicity 8)
6 F 0.218 0.432 0.363 (multiplicity 16)

Values from the calculation:
- ΔE_f (raw): -3.76 eV/atom

=====

(3)
Crystalline LiAcTm2Tl4 at its relaxed geometry, computed with PBE.

Unit cell a=5.2508 b=5.2508 c=28.3788 alpha=90.00 beta=90.00 gamma=120.00
Space group R-3m (No. 166, hexagonal axes)
Asymmetric unit:
1 Li 0.0000 0.0000 0.0000 (multiplicity 3)
2 Ac 0.0000 0.0000 0.5000 (multiplicity 3)
3 Tm 0.0000 0.0000 0.2593 (multiplicity 6)
4 Tl 0.0000 0.0000 0.1116 (multiplicity 6)
5 Tl 0.0000 0.0000 0.3698 (multiplicity 6)

Values from the calculation:
- Energy of formation from the pure elements: -0.28 eV/atom

=====

(4)
Crystalline Tb2HoAg2 at its relaxed geometry, computed with PBE.

Unit cell a=5.290 b=4.903 c=10.959 alpha=90.00 beta=96.54 gamma=90.00
Space group P2_1/m (No. 11)
Asymmetric unit:
1 Tb 0.163 0.250 0.112 (multiplicity 2)
2 Tb 0.253 0.750 0.507 (multiplicity 2)
3 Ho 0.299 0.250 0.759 (multiplicity 2)
4 Ag 0.214 0.250 0.367 (multiplicity 2)
5 Ag 0.358 0.750 0.991 (multiplicity 2)

Values from the calculation:
- ΔE to the lowest computed polymorph: 0.168 eV per atom
- Energy of formation from the pure elements: -0.07 eV/atom

=====

(5)
Crystalline LiTc3W at its relaxed geometry, computed with PBE.

Unit cell a=4.748 b=4.748 c=4.748 alpha=90.00 beta=90.00 gamma=90.00
Space group Pm-3m (No. 221)
Asymmetric unit:
1 Li 0.000 0.000 0.000 (multiplicity 1)
2 Tc 0.000 0.500 0.500 (multiplicity 3)
3 W 0.500 0.500 0.500 (multiplicity 1)

Values from the calculation:
- ΔE to the lowest computed polymorph: 0.552 eV per atom
- Energy of formation from the pure elements: 1.60 eV/atom

=====

(6)
Crystalline Ba2HAu at its relaxed geometry, computed with PBE.

Unit cell a=3.858 b=3.858 c=7.914 alpha=90.00 beta=90.00 gamma=90.00
Space group P4/mmm (No. 123)
Asymmetric unit:
1 Ba 0.000 0.000 0.246 (multiplicity 2)
2 H 0.500 0.500 0.000 (multiplicity 1)
3 Au 0.500 0.500 0.500 (multiplicity 1)

Values from the calculation:
- ΔE to the lowest computed polymorph: 0.173 eV per atom

=====

(7)
Crystalline Na2Sr2Au at its relaxed geometry, computed with PBE.

Unit cell a=7.905 b=7.905 c=5.653 alpha=90.00 beta=90.00 gamma=90.00
Space group P4/mbm (No. 127)
Asymmetric unit:
1 Na 0.141 0.359 0.000 (multiplicity 4)
2 Sr 0.186 0.686 0.500 (multiplicity 4)
3 Au 0.000 0.000 0.000 (multiplicity 2)

Values from the calculation:
- ΔE to the lowest computed polymorph: 0.111 eV per atom
- Energy of formation from the pure elements: -0.07 eV/atom

=====

(8)
Crystalline LiPr5Hg8 at its relaxed geometry, computed with PBE.

Unit cell a=9.211 b=9.211 c=9.177 alpha=90.00 beta=90.00 gamma=90.00
Space group I-4 (No. 82)
Asymmetric unit:
1 Li 0.000 0.000 0.000 (multiplicity 2)
2 Pr 0.000 0.500 0.250 (multiplicity 2)
3 Pr 0.111 0.249 0.605 (multiplicity 8)
4 Hg 0.077 0.159 0.260 (multiplicity 8)
5 Hg 0.080 0.300 0.948 (multiplicity 8)

Values from the calculation:
- Energy of formation from the pure elements: -0.41 eV/atom

=====

So what do the calculations give for magnetization? Going down the list: 0.0, 9.0, 0.0, 0.0, 2.5, 0.0, 0.0, 0.0 μB per formula unit.